(1)
LiLaTaBi2 (GGA-PBE, relaxed); volume = 152 Å³ per cell; final energy = -5.057 eV/atom; DFT formation energy = 0.2339 eV per atom; D(E_F) = 3.8 states/eV per cell
1.0
5.490 0.000 0.000
0.000 5.490 0.000
0.000 0.000 5.031
Li La Ta Bi
1 1 1 2
Direct
0.000 0.000 0.000
0.500 0.500 0.000
0.000 0.000 0.500
0.000 0.500 0.500
0.500 0.000 0.500

***

(2)
LiLaTbBi (GGA-PBE, relaxed); volume = 114 Å³ per cell; final energy = -4.200 eV/atom; DFT formation energy = -0.3615 eV per atom; D(E_F) = 4.7 states/eV per cell
1.0
0.000 3.854 3.854
3.854 0.000 3.854
3.854 3.854 0.000
Li La Tb Bi
1 1 1 1
Direct
0.000 0.000 0.000
0.750 0.750 0.750
0.250 0.250 0.250
0.500 0.500 0.500

***

(3)
LiLaTlBi (GGA-PBE, relaxed); volume = 115 Å³ per cell; final energy = -3.712 eV/atom; DFT formation energy = -0.4402 eV per atom; D(E_F) = 2.7 states/eV per cell
1.0
0.000 3.860 3.860
3.860 0.000 3.860
3.860 3.860 0.000
Li La Tl Bi
1 1 1 1
Direct
0.000 0.000 0.000
0.500 0.500 0.500
0.750 0.750 0.750
0.250 0.250 0.250

***

(4)
Li4La2Tl2Bi3 (GGA-PBE, relaxed); volume = 296 Å³ per cell; final energy = -3.537 eV/atom; DFT formation energy = -0.4563 eV per atom; D(E_F) = 4.9 states/eV per cell
1.0
-2.311 2.311 13.858
2.311 -2.311 13.858
2.311 2.311 -13.858
Li La Tl Bi
4 2 2 3
Direct
0.107 0.607 0.500
0.393 0.893 0.500
0.607 0.107 0.500
0.893 0.393 0.500
0.202 0.202 0.000
0.798 0.798 0.000
0.051 0.051 0.000
0.949 0.949 0.000
0.323 0.323 0.000
0.500 0.500 0.000
0.677 0.677 0.000

***

> What is the formula in the second record?

LiLaTbBi

***

> The lowest volume belongs to which entry?

LiLaTbBi